Record 1
Compound: Ba2IrBr
Source: Alexandria via LeMat-Bulk
Functional: PBE
Structure: relaxed

Calculated values
- polymorph energy (0 for the lowest one) (eV per formula unit) = 0.000
- theoretical density (g/cm³) = 6.2
- magnetization (μB/f.u.) = 0.00
- ΔE_f (raw) (eV per atom) = -0.857
- calculated total energy (Ry per atom) = -0.327
- symmetry = R-3m, No. 166

Geometry as POSCAR:
```
Ba2IrBr
1.0
-0.687 4.221 -1.674
-4.092 1.141 -1.743
-3.980 4.263 6.082
Ir Ba Br
1 2 1
Direct
0.250 0.250 0.250
0.514 0.514 0.458
0.986 0.986 0.042
0.750 0.750 0.750
```

---

Record 2
Compound: AcBiPb
Source: Alexandria via LeMat-Bulk
Functional: PBE
Structure: relaxed

Calculated values
- polymorph energy (0 for the lowest one) (eV per formula unit) = 0.121
- theoretical density (g/cm³) = 10.3
- magnetization (μB/f.u.) = 0.00
- calculated total energy (Ry per atom) = -0.327
- energy of formation from the pure elements (eV per atom) = -0.5551
- symmetry = Cmcm, No. 63

Geometry as POSCAR:
```
AcBiPb
1.0
4.794 0.000 -0.893
0.000 4.776 0.000
-0.765 0.000 9.210
Ac Pb Bi
2 2 2
Direct
0.902 0.750 0.804
0.098 0.250 0.196
0.252 0.750 0.504
0.748 0.250 0.496
0.572 0.750 0.144
0.428 0.250 0.856
```

---

Record 3
Compound: Th2ZrC
Source: Alexandria via LeMat-Bulk
Functional: PBE
Structure: relaxed

Calculated values
- theoretical density (g/cm³) = 9.5
- magnetization (μB/f.u.) = 0.61
- calculated total energy (Ry per atom) = -0.587
- energy of formation from the pure elements (eV per atom) = 0.1693
- symmetry = R-3m, No. 166

Geometry as POSCAR:
```
Th2ZrC
1.0
3.489 0.000 0.000
1.745 3.022 0.000
1.745 1.007 9.439
Th Zr C
2 1 1
Direct
0.113 0.113 0.661
0.887 0.887 0.339
0.000 0.000 0.000
0.500 0.500 0.500
```

---

Record 4
Compound: K2BiH
Source: Alexandria via LeMat-Bulk
Functional: PBE
Structure: relaxed

Calculated values
- polymorph energy (0 for the lowest one) (eV per formula unit) = 1.003
- theoretical density (g/cm³) = 3.4
- magnetization (μB/f.u.) = 0.00
- calculated total energy (Ry per atom) = -0.171
- symmetry = I-42d, No. 122

Geometry as POSCAR:
```
K2BiH
1.0
-6.970 -0.551 3.534
2.258 -6.681 3.411
-0.733 -1.245 7.042
K Bi H
4 2 2
Direct
0.375 0.492 0.750
0.508 0.125 0.250
0.242 0.625 0.250
0.875 0.758 0.750
0.750 0.250 0.500
0.000 0.000 0.000
0.250 0.750 0.500
0.500 0.500 0.000
```

---

DOS at the Fermi energy list, top to bottom, in states/eV/f.u.: 2.4, 1.9, 5.0, 1.1